1.
A plane-wave DFT calculation with PBE-GGA was carried out for an optimized crystal structure of NdTm2Mg4In2.

Lattice parameters (Å, degrees): 4.6941 7.6146 7.6146 121.13 90.00 90.00
Fractional positions:
Mg 0.5000 0.2418 0.0000
Mg 0.0000 0.9904 0.9904
Mg 0.5000 0.7556 0.7556
Mg 0.5000 0.0000 0.2418
In 0.5000 0.3340 0.6745
In 0.5000 0.6745 0.3340
Nd 0.0000 0.4340 0.4340
Tm 0.0000 0.5658 0.0039
Tm 0.0000 0.0039 0.5658

Output
The total moment is 0.0 μB/cell. The raw total energy comes out at -3.0884 eV per atom.

2.
A plane-wave DFT calculation with PBE-GGA was carried out for an optimized crystal structure of Nd2TmMg4In2.

Lattice parameters (Å, degrees): 4.7394 7.6081 7.6081 118.85 90.00 90.00
Fractional positions:
Mg 0.5000 0.7562 0.0003
Mg 0.5000 0.0003 0.7562
Mg 0.0000 0.9900 0.9900
Mg 0.5000 0.2408 0.2408
In 0.5000 0.6669 0.3415
In 0.5000 0.3415 0.6669
Tm 0.0000 0.5668 0.5668
Nd 0.0000 0.4334 0.0039
Nd 0.0000 0.0039 0.4334

Output
The total moment is 0.0 μB/cell. The raw total energy comes out at -3.1418 eV per atom.